(1)
Ho2Zn16In: relaxed, GGA-PBE.

Cell lengths 6.8366, 6.8366, 6.8366 Å; angles 83.11, 83.11, 83.11 degrees
Positions (direct):
1 Ho 0.0000 0.0000 0.0000
2 Ho 0.3233 0.3233 0.3233
3 Zn 0.0145 0.0145 0.4989
4 Zn 0.0145 0.4989 0.0145
5 Zn 0.1525 0.6701 0.6701
6 Zn 0.3084 0.3084 0.8356
7 Zn 0.3084 0.8356 0.3084
8 Zn 0.3586 0.6636 0.9704
9 Zn 0.3586 0.9704 0.6636
10 Zn 0.4989 0.0145 0.0145
11 Zn 0.6636 0.3586 0.9704
12 Zn 0.6636 0.9704 0.3586
13 Zn 0.6701 0.1525 0.6701
14 Zn 0.6701 0.6701 0.1525
15 Zn 0.7701 0.7701 0.7701
16 Zn 0.8356 0.3084 0.3084
17 Zn 0.9704 0.3586 0.6636
18 Zn 0.9704 0.6636 0.3586
19 In 0.5646 0.5646 0.5646

Summary:
Electronic total energy in eV for the cell shown: -36.20
Density of states at the Fermi level in states/eV per atom: 0.2600
Formation energy from the elements in eV/f.u.: -3.92


(2)
CoCu2B2: relaxed, GGA-PBE.

Cell lengths 5.3278, 5.3278, 3.1828 Å; angles 90.00, 90.00, 90.00 degrees
Positions (direct):
1 Co 0.0000 0.0000 0.0000
2 Co 0.5000 0.5000 0.0000
3 Cu 0.1787 0.3213 0.5000
4 Cu 0.3213 0.8213 0.5000
5 Cu 0.6787 0.1787 0.5000
6 Cu 0.8213 0.6787 0.5000
7 B 0.1173 0.6173 0.0000
8 B 0.3827 0.1173 0.0000
9 B 0.6173 0.8827 0.0000
10 B 0.8827 0.3827 0.0000

Summary:
Electronic total energy in eV for the cell shown: -55.22
Density of states at the Fermi level in states/eV per atom: 0.6620
Formation energy from the elements in eV/f.u.: 1.05


(3)
Tb3Er8Sc2: relaxed, GGA-PBE.

Cell lengths 8.5657, 8.5657, 6.6485 Å; angles 106.23, 106.23, 63.49 degrees
Positions (direct):
1 Tb 0.0000 0.0000 0.0000
2 Tb 0.1719 0.8281 0.5000
3 Tb 0.8281 0.1719 0.5000
4 Er 0.1912 0.1912 0.8965
5 Er 0.1991 0.5607 0.8088
6 Er 0.4101 0.4101 0.2767
7 Er 0.4393 0.8009 0.1912
8 Er 0.5607 0.1991 0.8088
9 Er 0.5899 0.5899 0.7233
10 Er 0.8009 0.4393 0.1912
11 Er 0.8088 0.8088 0.1035
12 Sc 0.2049 0.2049 0.4231
13 Sc 0.7951 0.7951 0.5769

Summary:
ΔE to the lowest computed polymorph in meV per atom: 0
Electronic total energy in eV for the cell shown: -59.95
Density of states at the Fermi level in states/eV per atom: 1.2087
Formation energy from the elements in eV/f.u.: 3.11


(4)
U2AsP2: relaxed, GGA-PBE.

Cell lengths 4.1652, 6.8523, 7.3605 Å; angles 90.00, 90.00, 90.00 degrees
Positions (direct):
1 U 0.0000 0.0000 0.2280
2 U 0.0000 0.0000 0.7720
3 U 0.5000 0.5000 0.2280
4 U 0.5000 0.5000 0.7720
5 As 0.0000 0.5000 0.5000
6 As 0.5000 0.0000 0.5000
7 P 0.0000 0.3330 0.0000
8 P 0.0000 0.6670 0.0000
9 P 0.5000 0.1670 0.0000
10 P 0.5000 0.8330 0.0000

Summary:
Electronic total energy in eV for the cell shown: -81.03
Density of states at the Fermi level in states/eV per atom: 2.0022
Formation energy from the elements in eV/f.u.: -2.47


(5)
Cu2CO: relaxed, GGA-PBE.

Cell lengths 5.2718, 5.2718, 5.2718 Å; angles 90.00, 90.00, 90.00 degrees
Positions (direct):
1 Cu 0.2500 0.2500 0.2500
2 Cu 0.2500 0.2500 0.7500
3 Cu 0.2500 0.7500 0.2500
4 Cu 0.2500 0.7500 0.7500
5 Cu 0.7500 0.2500 0.2500
6 Cu 0.7500 0.2500 0.7500
7 Cu 0.7500 0.7500 0.2500
8 Cu 0.7500 0.7500 0.7500
9 C 0.0000 0.0000 0.0000
10 C 0.0000 0.5000 0.5000
11 C 0.5000 0.0000 0.5000
12 C 0.5000 0.5000 0.0000
13 O 0.0000 0.0000 0.5000
14 O 0.0000 0.5000 0.0000
15 O 0.5000 0.0000 0.0000
16 O 0.5000 0.5000 0.5000

Summary:
ΔE to the lowest computed polymorph in meV per atom: 432
Electronic total energy in eV for the cell shown: -74.25
Density of states at the Fermi level in states/eV per atom: 0.9581


(6)
ZrTe2W: relaxed, GGA-PBE.

Cell lengths 4.8710, 4.8710, 3.4652 Å; angles 90.00, 90.00, 90.00 degrees
Positions (direct):
1 Zr 0.0000 0.0000 0.0000
2 Te 0.0000 0.5000 0.5000
3 Te 0.5000 0.0000 0.5000
4 W 0.5000 0.5000 0.0000

Summary:
ΔE to the lowest computed polymorph in meV per atom: 186
Electronic total energy in eV for the cell shown: -27.55
Density of states at the Fermi level in states/eV per atom: 1.0954